Here is crystalline AlPt2W at its relaxed geometry from Alexandria via LeMat-Bulk. Energies are from PBE.

Geometry as extended XYZ:
```
4
Lattice="-1.459 -1.536 1.971 2.591 -3.783 -1.031 3.043 1.213 3.197" Properties=species:S:1:pos:R:3 pbc="T T T"
Pt 0.000 0.000 0.000
Al 2.817 -1.285 1.083
Pt 0.566 -2.659 0.470
W 0.792 -0.162 2.584
```

Summary:
DFT formation energy (meV per atom): -189.9
Magnetic moment (μB/f.u.): 0.0
Space-group type: Pmmm, No. 47